Density functional theory data (PBE) for Sc2BiP after structural relaxation.

Summary:
formation enthalpy at 0 K	-0.511	eV per atom
space-group type	Fm-3m (225)

a = 7.033 Å, b = 7.033 Å, c = 7.033 Å
α = 90.00°, β = 90.00°, γ = 90.00°
Element x y z (fractional)
Sc 0.250 0.250 0.250
Sc 0.250 0.250 0.750
Sc 0.250 0.750 0.250
Sc 0.250 0.750 0.750
Sc 0.750 0.250 0.250
Sc 0.750 0.250 0.750
Sc 0.750 0.750 0.250
Sc 0.750 0.750 0.750
Bi 0.000 0.000 0.000
Bi 0.000 0.500 0.500
Bi 0.500 0.000 0.500
Bi 0.500 0.500 0.000
P 0.000 0.000 0.500
P 0.000 0.500 0.000
P 0.500 0.000 0.000
P 0.500 0.500 0.500